[1]
Ti6SnAu | Alexandria | PBE | optimized geometry; total energy = -0.26031 hartree per atom
1.0
-3.955 -2.713 0.047
2.244 -3.343 -4.167
0.948 -1.286 5.570
Ti Sn Au
6 1 1
Direct
0.000 0.081 0.416 Ti
0.500 0.414 0.082 Ti
0.000 0.585 0.415 Ti
0.000 0.584 0.919 Ti
0.500 0.918 0.082 Ti
0.500 0.918 0.586 Ti
0.000 0.083 0.917 Sn
0.500 0.417 0.583 Au

[2]
Cs2PuGeBr6 | Alexandria | PBE | optimized geometry; raw formation energy = -1.33 eV/atom; total energy = -0.16176 hartree per atom
1.0
8.198 0.000 0.000
0.000 8.209 0.000
0.000 0.000 11.595
Br Cs Pu Ge
12 4 2 2
Direct
0.000 0.750 0.247 Br
0.253 0.002 0.500 Br
0.753 0.998 0.000 Br
0.247 0.998 0.000 Br
0.752 0.504 0.000 Br
0.500 0.250 0.747 Br
0.248 0.504 0.000 Br
0.748 0.496 0.500 Br
0.747 0.002 0.500 Br
0.000 0.750 0.753 Br
0.500 0.250 0.253 Br
0.252 0.496 0.500 Br
0.000 0.251 0.250 Cs
0.500 0.749 0.750 Cs
0.000 0.251 0.750 Cs
0.500 0.749 0.250 Cs
0.500 0.251 0.000 Pu
0.000 0.749 0.500 Pu
0.000 0.751 0.000 Ge
0.500 0.249 0.500 Ge

Q: Among the records above, which one has the lowest total energy?
A: Ti6SnAu

Q: total energy of number 1 (Ti6SnAu)?
A: -0.26031 hartree per atom

Q: Which value of total energy does entry 1 give?
A: -0.26031 hartree per atom

Q: Which of these has the lowest total energy?
A: Ti6SnAu